No. 1
Density functional theory data (PBE) for UF4 after structural relaxation.

```
UF4
1.0
6.3040 -5.3419 0.0000
6.3040 5.3419 0.0000
-4.9705 0.0000 6.6089
U F
6 24
direct
0.2106 0.7894 0.7500
0.2223 0.3684 0.1701
0.3684 0.2223 0.6701
0.6316 0.7777 0.3299
0.7777 0.6316 0.8299
0.7894 0.2106 0.2500
0.0000 0.5000 0.0000
0.0332 0.7259 0.8562
0.0678 0.1620 0.4517
0.1620 0.0678 0.9517
0.1767 0.6014 0.4251
0.2551 0.3189 0.8926
0.2562 0.5005 0.7104
0.2741 0.9668 0.6438
0.3189 0.2551 0.3926
0.3885 0.6115 0.2500
0.3986 0.8233 0.0749
0.4995 0.7438 0.7896
0.5000 0.0000 0.5000
0.5005 0.2562 0.2104
0.6014 0.1767 0.9251
0.6115 0.3885 0.7500
0.6811 0.7449 0.6074
0.7259 0.0332 0.3562
0.7438 0.4995 0.2896
0.7449 0.6811 0.1074
0.8233 0.3986 0.5749
0.8380 0.9322 0.0483
0.9322 0.8380 0.5483
0.9668 0.2741 0.1438
```

Computed properties:
M_tot (μB per atom): 0.40
Total energy (Ry per atom): -0.5398
Crystal system: monoclinic
SG: C2/c (15)



No. 2
Density functional theory data (PBE) for Be3Fe2Pd2 after structural relaxation.

```
Be3Fe2Pd2
1.0
1.9078 1.1015 6.0949
-1.9078 1.1015 6.0949
0.0000 -2.2030 6.0949
Be Fe Pd
3 2 2
direct
0.0000 0.0000 0.0000
0.2537 0.2537 0.2537
0.7455 0.7455 0.7455
0.3779 0.3779 0.3779
0.8700 0.8700 0.8700
0.1290 0.1290 0.1290
0.6192 0.6192 0.6192
```

Computed properties:
M_tot (μB per atom): 0.61
Total energy (Ry per atom): -0.4088
Crystal system: trigonal
SG: R3m (160)